BiH2Se: optimized geometry, PBE.

```
BiH2Se
1.0
0.000 3.053 3.053
3.053 0.000 3.053
3.053 3.053 0.000
H Bi Se
2 1 1
direct
0.250 0.250 0.250
0.750 0.750 0.750
0.500 0.500 0.500
0.000 0.000 0.000
```

Its space group is Fm-3m, No. 225. As for the energy above the most stable polymorph in this dataset: 622 meV per atom. Its total energy is -2.849 eV per atom.